(1)
PBE La2U2S7, relaxed; uncorrected energy = -7.267 eV/atom; space-group type = No. 227; density of states at the Fermi level = 9.82 states/eV/f.u.; polymorph energy (0 for the lowest one) = 3.2 meV/atom; total magnetization = 4.0 μB/f.u.; formation energy (no corrections) = -39.03 kcal/mol of atoms
1.0
8.122 0.000 4.689
2.707 7.657 4.689
0.000 0.000 9.378
S U La
14 4 4
Cartesian
3.910 0.213 6.773
1.504 3.616 2.605
8.122 5.743 14.067
3.910 5.956 11.983
0.301 0.213 4.689
1.504 3.616 6.773
5.114 3.616 4.689
5.415 3.829 9.378
3.910 0.213 2.605
3.910 5.956 6.773
6.919 1.702 6.773
2.406 1.702 9.378
6.919 1.702 11.983
8.423 5.956 9.378
1.354 0.957 7.034
1.354 0.957 2.345
2.707 4.786 4.689
5.415 0.957 4.689
6.768 4.786 11.723
2.707 4.786 9.378
5.415 0.957 9.378
6.768 4.786 7.034

***

(2)
PBE KZn3Os, relaxed; uncorrected energy = -2.964 eV/atom; space-group type = No. 221; density of states at the Fermi level = 2.60 states/eV/f.u.; polymorph energy (0 for the lowest one) = 0.0 meV/atom; total magnetization = 0.0 μB/f.u.; formation energy from the elements = 1.33 eV per formula unit
1.0
-1.540 0.391 4.658
1.400 -4.640 0.852
4.459 1.592 1.341
Os Zn K
1 3 1
Cartesian
0.000 0.000 0.000
0.700 -2.320 0.426
-0.770 0.195 2.329
2.230 0.796 0.670
2.160 -1.329 3.425

***

(3)
PBE Sr2CuIr, relaxed; uncorrected energy = -4.093 eV/atom; space-group type = No. 44; density of states at the Fermi level = 2.09 states/eV/f.u.; total magnetization = 0.0 μB/f.u.; formation energy from the elements = -0.05 eV per formula unit
1.0
7.339 0.068 -0.510
6.082 4.107 -0.510
1.579 0.491 4.048
Sr Cu Ir
2 1 1
Cartesian
13.338 4.150 -0.984
3.755 1.168 0.753
6.578 2.046 1.912
12.251 3.811 1.842

***

(4)
PBE GaHg3S, relaxed; uncorrected energy = -1.206 eV/atom; space-group type = No. 221; density of states at the Fermi level = 2.53 states/eV/f.u.; polymorph energy (0 for the lowest one) = 22.4 meV/atom; total magnetization = 0.0 μB/f.u.; formation energy (no corrections) = 9.36 kcal/mol of atoms
1.0
5.344 0.000 0.000
0.000 5.344 0.000
0.000 0.000 5.344
Hg Ga S
3 1 1
Cartesian
0.000 0.000 2.672
2.672 0.000 0.000
0.000 2.672 0.000
2.672 2.672 2.672
0.000 0.000 0.000

***

(5)
PBE Pm4Y4Er3, relaxed; uncorrected energy = -5.199 eV/atom; space-group type = No. 71; density of states at the Fermi level = 19.25 states/eV/f.u.; polymorph energy (0 for the lowest one) = 69.7 meV/atom; total magnetization = 0.0 μB/f.u.; formation energy from the elements = 1.36 eV per formula unit
1.0
3.551 0.000 -0.654
-0.837 8.074 -4.545
0.375 1.436 12.003
Pm Y Er
4 4 3
Cartesian
1.700 7.034 -0.739
1.999 4.150 0.885
1.389 2.476 7.543
1.090 5.360 5.920
1.091 6.606 -4.046
0.478 6.869 2.594
2.611 2.641 4.210
1.623 1.468 -1.153
0.376 1.187 2.039
2.714 8.323 4.765
-0.419 4.037 -2.272

***

(6)
PBE LaAlRh4, relaxed; uncorrected energy = -6.758 eV/atom; space-group type = No. 216; density of states at the Fermi level = 9.74 states/eV/f.u.; total magnetization = 0.0 μB/f.u.; formation energy from the elements = -2.47 eV per formula unit
1.0
-0.049 0.826 5.242
-4.122 -1.651 2.908
0.574 -4.088 3.336
La Rh Al
1 4 1
Cartesian
0.000 0.000 0.000
-1.377 -1.438 6.918
-1.353 -1.848 4.320
-3.395 -2.666 5.761
-1.069 -3.873 5.973
-2.698 -3.684 8.615